Computed, not measured: an optimized crystal structure of Eu2VWO6 at the GGA+U level of DFT.

Cell and atoms, written as POSCAR:
```
Eu2VWO6
1.0
0.000 4.028 4.028
4.028 0.000 4.028
4.028 4.028 0.000
Eu V W O
2 1 1 6
direct
0.250 0.250 0.250 Eu
0.750 0.750 0.750 Eu
0.000 0.000 0.000 V
0.500 0.500 0.500 W
0.257 0.257 0.743 O
0.257 0.743 0.257 O
0.257 0.743 0.743 O
0.743 0.257 0.257 O
0.743 0.257 0.743 O
0.743 0.743 0.257 O
```

Calculated values
Magnetic moment ... 17.001 Bohr magnetons per cell
ρ ... 8.1 Mg/m³
Energy ... -0.65665 Ry/atom